Entry 1:
PmTcGe: optimized geometry, GGA-PBE.

The calculated formation energy comes out at -0.87 eV per formula unit. The value obtained for the density of states at the Fermi level is 2.9 states/eV/cell. Its calculated density is 8.170 Mg/m³. For the energy above the most stable polymorph in this dataset, the calculation gives 175 meV per atom. The total energy is -20.602 eV for the cell shown.

Geometry as POSCAR:
```
PmTcGe
1.0
-1.9956 -3.0434 1.4695
3.4567 -1.1156 2.3837
-2.9673 2.7283 1.6207
Pm Ge Tc
1 1 1
Cartesian
-2.1564 -0.5819 2.8547 Pm
0.9827 -0.3416 2.3743 Ge
-0.3326 -0.5072 0.2449 Tc
```

Entry 2:
Tb2TmIr2: optimized geometry, GGA-PBE.

The calculated formation energy comes out at -2.29 eV per formula unit. The value obtained for the density of states at the Fermi level is 6.2 states/eV/cell. Its calculated density is 12.179 Mg/m³. For the energy above the most stable polymorph in this dataset, the calculation gives 289 meV per atom. The total energy is -67.494 eV for the cell shown.

Geometry as POSCAR:
```
Tb2TmIr2
1.0
5.5058 0.0000 0.0000
0.0000 5.5098 -2.3572
0.0000 0.0772 7.7986
Ir Tm Tb
4 2 4
Cartesian
1.3764 0.8107 5.5611 Ir
1.3764 3.4623 4.4267 Ir
4.1293 2.1248 1.0147 Ir
4.1293 4.7763 -0.1197 Ir
0.0000 0.0000 0.0000 Tm
2.7529 0.0000 0.0000 Tm
4.1293 2.3778 5.5580 Tb
4.1293 4.3509 2.5520 Tb
1.3764 3.2093 -0.1165 Tb
1.3764 1.2361 2.8894 Tb
```

Entry 3:
Al2InMo: optimized geometry, GGA-PBE.

The calculated formation energy comes out at 0.43 eV per formula unit. The value obtained for the density of states at the Fermi level is 3.3 states/eV/cell. Its calculated density is 6.058 Mg/m³. The total energy is -20.620 eV for the cell shown.

Geometry as POSCAR:
```
Al2InMo
1.0
9.3230 -0.0109 -0.0064
8.8359 2.9743 -0.0064
8.8359 1.4420 2.6014
Mo In Al
1 1 2
Cartesian
20.2461 3.3041 1.9415 Mo
6.7487 1.1014 0.6472 In
13.2699 2.1656 1.2725 Al
0.2275 0.0371 0.0218 Al
```

Entry 4:
NaMg2Cd4: optimized geometry, GGA-PBE.

The calculated formation energy comes out at -0.60 eV per formula unit. The value obtained for the density of states at the Fermi level is 2.7 states/eV/cell. Its calculated density is 5.337 Mg/m³. The total energy is -8.773 eV for the cell shown.

Geometry as POSCAR:
```
NaMg2Cd4
1.0
-2.4829 3.7228 2.0414
-0.5906 -1.8407 2.6385
10.0457 2.4081 1.9012
Cd Na Mg
4 1 2
Cartesian
1.0374 1.9543 3.6230 Cd
6.0410 4.7279 4.6506 Cd
0.9311 -0.4376 1.9305 Cd
5.9348 2.3360 2.9581 Cd
-1.2414 1.8614 1.0207 Na
3.4986 2.9231 4.8498 Mg
3.4736 1.3672 1.7314 Mg
```

Entry 5:
MgCuSi: optimized geometry, GGA-PBE.

The value obtained for the density of states at the Fermi level is 0.9 states/eV/cell. Its calculated density is 4.215 Mg/m³. The value obtained for the uncorrected formation energy is 61 meV/atom. The total energy is -10.932 eV for the cell shown.

Geometry as POSCAR:
```
MgCuSi
1.0
5.9719 0.0472 -0.0480
5.2718 2.8091 0.0190
0.7001 0.1159 2.7603
Mg Si Cu
1 1 1
Cartesian
4.2892 1.0488 1.8109 Mg
7.5368 1.8928 0.9517 Si
0.8180 0.1466 2.7292 Cu
```

Entry 6:
ScZnAs2Br: optimized geometry, GGA-PBE.

The value obtained for the density of states at the Fermi level is 4.1 states/eV/cell. Its calculated density is 3.968 Mg/m³. For the energy above the most stable polymorph in this dataset, the calculation gives 0 meV per atom. The value obtained for the uncorrected formation energy is 24 meV/atom. The total energy is -18.459 eV for the cell shown.

Geometry as POSCAR:
```
ScZnAs2Br
1.0
5.2261 0.0000 0.0000
0.0000 5.2261 0.0000
0.0000 0.0000 5.2116
Br As Zn Sc
1 2 1 1
Cartesian
0.0000 0.0000 2.6058 Br
0.0000 2.6131 0.0000 As
2.6131 0.0000 0.0000 As
2.6131 2.6131 2.6058 Zn
0.0000 0.0000 0.0000 Sc
```

The lowest calculated density belongs to which entry?
ScZnAs2Br